No. 1
LuCdPd2 after structural relaxation. Source: OQMD, functional PBE.

Cell: 6.712 6.712 6.712 Å, 90.00 90.00 90.00°
Space group F-43m (No. 216)
Inequivalent atoms, fractional coordinates:
Lu  0.000  0.000  0.000 (multiplicity 4)
Cd  0.250  0.250  0.250 (multiplicity 4)
Pd  0.000  0.000  0.500 (multiplicity 4)
Pd  0.250  0.250  0.750 (multiplicity 4)

## Properties
Energy of formation from the pure elements in meV per atom: -546.6
Uncorrected energy in eV/atom: -4.49

No. 2
PmLuCd after structural relaxation. Source: OQMD, functional PBE.

Cell: 7.108 7.108 7.108 Å, 90.00 90.00 90.00°
Space group F-43m (No. 216)
Inequivalent atoms, fractional coordinates:
Pm  0.000  0.000  0.000 (multiplicity 4)
Lu  0.250  0.250  0.750 (multiplicity 4)
Cd  0.000  0.000  0.500 (multiplicity 4)

## Properties
Energy of formation from the pure elements in meV per atom: 439.1
Uncorrected energy in eV/atom: -2.95

No. 3
PrLuCd after structural relaxation. Source: OQMD, functional PBE.

Cell: 7.138 7.138 7.138 Å, 90.00 90.00 90.00°
Space group F-43m (No. 216)
Inequivalent atoms, fractional coordinates:
Pr  0.000  0.000  0.000 (multiplicity 4)
Lu  0.250  0.250  0.750 (multiplicity 4)
Cd  0.000  0.000  0.500 (multiplicity 4)

## Properties
Relative energy among the computed polymorphs in eV per atom: 0.000
Energy of formation from the pure elements in meV per atom: 397.6
Uncorrected energy in eV/atom: -3.00

No. 4
LuCd2Pt after structural relaxation. Source: OQMD, functional PBE.

Cell: 7.758 7.758 7.758 Å, 90.00 90.00 90.00°
Space group F-43m (No. 216)
Inequivalent atoms, fractional coordinates:
Lu  0.000  0.000  0.000 (multiplicity 4)
Cd  0.000  0.000  0.500 (multiplicity 4)
Cd  0.250  0.250  0.750 (multiplicity 4)
Pt  0.250  0.250  0.250 (multiplicity 4)

## Properties
Energy of formation from the pure elements in meV per atom: -34.8
Uncorrected energy in eV/atom: -3.13

No. 5
RbLuCd after structural relaxation. Source: OQMD, functional PBE.

Cell: 7.734 7.734 7.734 Å, 90.00 90.00 90.00°
Space group F-43m (No. 216)
Inequivalent atoms, fractional coordinates:
Rb  0.000  0.000  0.000 (multiplicity 4)
Lu  0.250  0.250  0.750 (multiplicity 4)
Cd  0.000  0.000  0.500 (multiplicity 4)

## Properties
Relative energy among the computed polymorphs in eV per atom: 0.000
Uncorrected energy in eV/atom: -1.39

No. 6
RbLuCd after structural relaxation. Source: OQMD, functional PBE.

Cell: 7.966 7.966 7.966 Å, 90.00 90.00 90.00°
Space group F-43m (No. 216)
Inequivalent atoms, fractional coordinates:
Rb  0.000  0.000  0.000 (multiplicity 4)
Lu  0.250  0.250  0.250 (multiplicity 4)
Cd  0.250  0.250  0.750 (multiplicity 4)

## Properties
Relative energy among the computed polymorphs in eV per atom: 0.257
Uncorrected energy in eV/atom: -1.13

No. 7
RbLuCdSe3 after structural relaxation. Source: OQMD, functional PBE.

Cell: 11.032 4.208 15.453 Å, 90.00 90.00 90.00°
Space group Pnma (No. 62)
Inequivalent atoms, fractional coordinates:
Rb  0.241  0.250  0.003 (multiplicity 4)
Lu  0.010  0.750  0.252 (multiplicity 4)
Cd  0.241  0.750  0.791 (multiplicity 4)
Se  0.032  0.750  0.870 (multiplicity 4)
Se  0.054  0.250  0.374 (multiplicity 4)
Se  0.240  0.250  0.684 (multiplicity 4)

## Properties
Relative energy among the computed polymorphs in eV per atom: 0.001
Uncorrected energy in eV/atom: -4.13

No. 8
RbLuCdSe3 after structural relaxation. Source: OQMD, functional PBE.

Cell: 4.194 15.571 10.984 Å, 90.00 90.00 90.00°
Space group Cmcm (No. 63)
Inequivalent atoms, fractional coordinates:
Rb  0.000  0.247  0.250 (multiplicity 4)
Lu  0.000  0.500  0.000 (multiplicity 4)
Cd  0.000  0.040  0.750 (multiplicity 4)
Se  0.000  0.122  0.543 (multiplicity 8)
Se  0.000  0.434  0.750 (multiplicity 4)

## Properties
Relative energy among the computed polymorphs in eV per atom: 0.000
Uncorrected energy in eV/atom: -4.13